# 1
VASP calculation (PBE) on an optimized crystal structure of TaReAg2.

Summary:
Total DFT energy (no corrections) in eV per cell: -27.855
Formation enthalpy at 0 K in eV per atom: 0.5371

Unit cell a=4.5895 b=4.5895 c=4.5895 alpha=60.00 beta=60.00 gamma=60.00
Closest atoms and distances in Å follow each position.
Element x y z (fractional)
Ta (0.0000, 0.0000, 0.0000)  4 Re 2.81, 4 Ag 2.81
Re (0.7500, 0.7500, 0.7500)  4 Ag 2.81, 4 Ta 2.81
Ag (0.2500, 0.2500, 0.2500)  4 Ag 2.81, 4 Ta 2.81
Ag (0.5000, 0.5000, 0.5000)  4 Re 2.81, 4 Ag 2.81

---

# 2
VASP calculation (PBE) on an optimized crystal structure of Rb4Np3SnSe8.

Summary:
E_form (uncorrected) in meV per atom: -1146
Total DFT energy (no corrections) in eV per cell: -92.905

Unit cell a=9.3673 b=9.3673 c=9.3673 alpha=55.29 beta=55.29 gamma=55.29
Closest atoms and distances in Å follow each position.
Element x y z (fractional)
Rb (0.0000, 0.0000, 0.0000)  6 Se 3.41
Rb (0.0000, 0.5000, 0.5000)  6 Se 3.49-3.52
Rb (0.5000, 0.0000, 0.5000)  6 Se 3.49-3.52
Rb (0.5000, 0.5000, 0.0000)  6 Se 3.49-3.52
Np (0.0000, 0.0000, 0.5000)  6 Se 2.90-2.94
Np (0.0000, 0.5000, 0.0000)  6 Se 2.90-2.94
Np (0.5000, 0.0000, 0.0000)  6 Se 2.90-2.94
Sn (0.5000, 0.5000, 0.5000)  6 Se 3.03
Se (0.2182, 0.7380, 0.7380)  2 Np 2.90, 1 Sn 3.03
Se (0.2314, 0.2314, 0.2314)  3 Np 2.94
Se (0.2620, 0.2620, 0.7818)  2 Np 2.90, 1 Sn 3.03
Se (0.2620, 0.7818, 0.2620)  2 Np 2.90, 1 Sn 3.03
Se (0.7380, 0.2182, 0.7380)  2 Np 2.90, 1 Sn 3.03
Se (0.7380, 0.7380, 0.2182)  2 Np 2.90, 1 Sn 3.03
Se (0.7686, 0.7686, 0.7686)  3 Np 2.94
Se (0.7818, 0.2620, 0.2620)  2 Np 2.90, 1 Sn 3.03